A relaxed structure of CrNi2W. Source: Alexandria, functional PBE.

Geometry as CIF:
```
data_CrNi2W
_chemical_formula_sum 'Cr1 Ni2 W1'
_space_group_name_H-M_alt 'P 1'
_space_group_IT_number 1
_cell_length_a 8.6471
_cell_length_b 8.6471
_cell_length_c 8.6471
_cell_angle_alpha 17.46
_cell_angle_beta 17.46
_cell_angle_gamma 17.46
loop_
_space_group_symop_operation_xyz
'x,y,z'
loop_
_atom_site_label
_atom_site_fract_x
_atom_site_fract_y
_atom_site_fract_z
Ni1 0.0042 0.0042 0.0042
Ni2 0.4958 0.4958 0.4958
W1 0.2500 0.2500 0.2500
Cr1 0.7500 0.7500 0.7500
```

Summary:
* magnetic moment: 0.00 μB/f.u.
* E_tot: -8.271 eV per atom
* DFT formation energy: 0.264 eV/atom
* energy above the most stable polymorph in this dataset: 235 meV per atom